# 1
Computed, not measured: a relaxed CoNiRh2 crystal at the GGA-PBE level of DFT.

Unit cell a=2.6544 b=2.6544 c=7.2156 alpha=90.00 beta=90.00 gamma=90.00
With the nearest neighbours (Å) after each atom.
Space group P4/mmm (No. 123)
Unique sites:
Co: 0.0000 0.0000 0.0000 [1 per cell]  8 Rh 2.59, 4 Co 2.65
Ni: 0.0000 0.0000 0.5000 [1 per cell]  8 Rh 2.61, 4 Ni 2.65
Rh: 0.5000 0.5000 0.2480 [2 per cell]  4 Co 2.59, 4 Ni 2.61, 4 Rh 2.65

- N(E_F) (states/eV per atom) = 1.829
- volume (Å³ per cell) = 50.8
- energy of formation (eV/atom) = 0.059
- E above lowest polymorph (eV per atom) = 0.0045

=====

# 2
Computed, not measured: a relaxed VPd3W crystal at the GGA-PBE level of DFT.

Unit cell a=4.7852 b=4.7852 c=4.7852 alpha=90.00 beta=90.00 gamma=90.00
With the nearest neighbours (Å) after each atom.
Space group Pm-3m (No. 221)
Unique sites:
V: 0.0000 0.0000 0.0000 [1 per cell]  12 Pd 3.38
Pd: 0.0000 0.5000 0.5000 [3 per cell]  2 W 2.39
W: 0.5000 0.5000 0.5000 [1 per cell]  6 Pd 2.39

- N(E_F) (states/eV per atom) = 1.726
- volume (Å³ per cell) = 109.6
- energy of formation (eV/atom) = 1.312
- E above lowest polymorph (eV per atom) = 0.0000

=====

# 3
Computed, not measured: a relaxed LiCSe2N crystal at the GGA-PBE level of DFT.

Unit cell a=4.5748 b=4.5748 c=3.3983 alpha=90.00 beta=90.00 gamma=90.00
With the nearest neighbours (Å) after each atom.
Space group P4/mmm (No. 123)
Unique sites:
Li: 0.0000 0.0000 0.0000 [1 per cell]  2 N 1.70
C: 0.5000 0.5000 0.5000 [1 per cell]  8 Se 2.85
Se: 0.0000 0.5000 0.0000 [2 per cell]  2 Li 2.29
N: 0.0000 0.0000 0.5000 [1 per cell]  2 Li 1.70

- N(E_F) (states/eV per atom) = 0.628
- ΔE_f (raw) (eV/atom) = 2.083
- volume (Å³ per cell) = 71.1
- E above lowest polymorph (eV per atom) = 1.7434

=====

# 4
Computed, not measured: a relaxed Ga2SnPt8 crystal at the GGA-PBE level of DFT.

Unit cell a=14.4103 b=4.0210 c=6.3915 alpha=90.00 beta=107.00 gamma=90.00
With the nearest neighbours (Å) after each atom.
Space group C2/m (No. 12)
Unique sites:
Ga: 0.2113 0.0000 0.1675 [4 per cell]  9 Pt 2.55-2.79
Sn: 0.0000 0.5000 0.5000 [2 per cell]  8 Pt 2.68-2.93
Pt: 0.0387 0.0000 0.2345 [4 per cell]  1 Ga 2.64, 2 Sn 2.79, 8 Pt 2.83-2.96
Pt: 0.0944 0.5000 0.9729 [4 per cell]  2 Ga 2.68, 8 Pt 2.81-2.88, 1 Sn 2.93
Pt: 0.1648 0.0000 0.7512 [4 per cell]  3 Ga 2.55-2.64, 2 Pt 2.81
Pt: 0.1764 0.5000 0.4378 [4 per cell]  3 Ga 2.57-2.79, 1 Sn 2.68, 5 Pt 2.86

- N(E_F) (states/eV per atom) = 0.542
- volume (Å³ per cell) = 354.2
- energy of formation (eV/atom) = -0.387

=====

# 5
Computed, not measured: a relaxed La2CuBi2 crystal at the GGA-PBE level of DFT.

Unit cell a=8.2780 b=8.2780 c=4.6951 alpha=90.00 beta=90.00 gamma=90.00
With the nearest neighbours (Å) after each atom.
Space group P4/mbm (No. 127)
Unique sites:
La: 0.1741 0.3259 0.0000 [4 per cell]  2 Cu 3.06, 2 Bi 3.24
Cu: 0.0000 0.0000 0.0000 [2 per cell]  4 La 3.06
Bi: 0.1345 0.6345 0.5000 [4 per cell]  1 Bi 3.15, 6 La 3.24-3.49

- N(E_F) (states/eV per atom) = 0.548
- volume (Å³ per cell) = 321.7
- energy of formation (eV/atom) = -0.436
- E above lowest polymorph (eV per atom) = 0.0384

=====

# 6
Computed, not measured: a relaxed Hf5Ti3In crystal at the GGA-PBE level of DFT.

Unit cell a=12.1042 b=6.6382 c=10.1303 alpha=90.00 beta=100.10 gamma=90.00
With the nearest neighbours (Å) after each atom.
Space group C2/m (No. 12)
Unique sites:
Hf: 0.0000 0.1773 0.0000 [4 per cell]  1 Ti 2.14, 1 Hf 2.35
Hf: 0.0893 0.0000 0.4513 [4 per cell]  1 Hf 2.53, 2 Ti 2.60-2.72
Hf: 0.1097 0.2548 0.7486 [8 per cell]  3 Ti 3.01-3.10, 5 Hf 3.11-3.32, 1 In 3.31
Hf: 0.2387 0.5000 0.0116 [4 per cell]  2 Ti 2.73-2.87, 1 In 3.05
Ti: 0.0000 0.5000 0.0000 [2 per cell]  2 Hf 2.14
Ti: 0.0000 0.5000 0.5000 [2 per cell]  2 Ti 2.32
Ti: 0.1749 0.0000 0.2203 [4 per cell]  1 Ti 2.68, 2 Hf 2.72-2.73
Ti: 0.1944 0.5000 0.5374 [4 per cell]  1 Ti 2.32
In: 0.1299 0.5000 0.2608 [4 per cell]  2 Ti 2.77-2.83, 1 Hf 3.05

- N(E_F) (states/eV per atom) = 1.376
- volume (Å³ per cell) = 801.4
- energy of formation (eV/atom) = 0.542

=====

Please write out number 2 again, unchanged.
Computed, not measured: a relaxed VPd3W crystal at the GGA-PBE level of DFT.

Unit cell a=4.7852 b=4.7852 c=4.7852 alpha=90.00 beta=90.00 gamma=90.00
With the nearest neighbours (Å) after each atom.
Space group Pm-3m (No. 221)
Unique sites:
V: 0.0000 0.0000 0.0000 [1 per cell]  12 Pd 3.38
Pd: 0.0000 0.5000 0.5000 [3 per cell]  2 W 2.39
W: 0.5000 0.5000 0.5000 [1 per cell]  6 Pd 2.39

- N(E_F) (states/eV per atom) = 1.726
- volume (Å³ per cell) = 109.6
- energy of formation (eV/atom) = 1.312
- E above lowest polymorph (eV per atom) = 0.0000